# PBE RbNaGaH6, optimized geometry
# **VASP energy**: -2.68 eV per atom
# **Density of states at the Fermi level**: 0.41 states/eV per atom
# **Crystal system**: trigonal
# **Space group**: P312 (149)
data_RbNaGaH6
_cell_length_a 5.456
_cell_length_b 5.456
_cell_length_c 5.482
_cell_angle_alpha 90.00
_cell_angle_beta 90.00
_cell_angle_gamma 59.98
_symmetry_space_group_name_H-M 'P 1'
_symmetry_Int_Tables_number 1
loop_
_symmetry_equiv_pos_as_xyz
'x,y,z'
loop_
_atom_site_label
_atom_site_fract_x
_atom_site_fract_y
_atom_site_fract_z
_atom_site_occupancy
H1 0.577 0.355 0.688 1
H2 0.068 0.578 0.688 1
H3 0.355 0.577 0.312 1
H4 0.578 0.068 0.312 1
H5 0.355 0.068 0.688 1
H6 0.068 0.355 0.312 1
Na1 0.667 0.667 0.500 1
Ga1 0.333 0.333 0.500 1
Rb1 0.000 0.000 0.000 1

# PBE Rb2NaGa2H6, optimized geometry
# **VASP energy**: -2.78 eV per atom
# **Density of states at the Fermi level**: 0.26 states/eV per atom
# **Crystal system**: monoclinic
# **Space group**: C2/m (12)
data_Rb2NaGa2H6
_cell_length_a 5.813
_cell_length_b 6.414
_cell_length_c 8.016
_cell_angle_alpha 123.44
_cell_angle_beta 90.00
_cell_angle_gamma 116.94
_symmetry_space_group_name_H-M 'P 1'
_symmetry_Int_Tables_number 1
loop_
_symmetry_equiv_pos_as_xyz
'x,y,z'
loop_
_atom_site_label
_atom_site_fract_x
_atom_site_fract_y
_atom_site_fract_z
_atom_site_occupancy
Rb1 0.277 0.554 0.782 1
Rb2 0.723 0.446 0.218 1
Ga1 0.022 0.044 0.173 1
Ga2 0.978 0.956 0.827 1
H1 0.813 0.075 0.768 1
H2 0.187 0.925 0.232 1
H3 0.203 0.405 0.366 1
H4 0.262 0.075 0.768 1
H5 0.797 0.595 0.634 1
H6 0.738 0.925 0.232 1
Na1 0.500 0.000 0.500 1

# PBE NaGa2SnH, optimized geometry
# **VASP energy**: -2.90 eV per atom
# **Density of states at the Fermi level**: 0.21 states/eV per atom
# **Crystal system**: tetragonal
# **Space group**: P4/mmm (123)
data_NaGa2SnH
_cell_length_a 4.528
_cell_length_b 4.528
_cell_length_c 4.407
_cell_angle_alpha 90.00
_cell_angle_beta 90.00
_cell_angle_gamma 90.00
_symmetry_space_group_name_H-M 'P 1'
_symmetry_Int_Tables_number 1
loop_
_symmetry_equiv_pos_as_xyz
'x,y,z'
loop_
_atom_site_label
_atom_site_fract_x
_atom_site_fract_y
_atom_site_fract_z
_atom_site_occupancy
H1 0.000 0.000 0.000 1
Ga1 0.500 0.000 0.000 1
Ga2 0.000 0.500 0.000 1
Sn1 0.500 0.500 0.500 1
Na1 0.000 0.000 0.500 1

# PBE Na2SrGaH, optimized geometry
# **VASP energy**: -2.27 eV per atom
# **Density of states at the Fermi level**: 0.65 states/eV per atom
# **Crystal system**: tetragonal
# **Space group**: P4/mmm (123)
data_Na2SrGaH
_cell_length_a 4.811
_cell_length_b 4.811
_cell_length_c 5.200
_cell_angle_alpha 90.00
_cell_angle_beta 90.00
_cell_angle_gamma 90.00
_symmetry_space_group_name_H-M 'P 1'
_symmetry_Int_Tables_number 1
loop_
_symmetry_equiv_pos_as_xyz
'x,y,z'
loop_
_atom_site_label
_atom_site_fract_x
_atom_site_fract_y
_atom_site_fract_z
_atom_site_occupancy
Na1 0.500 0.000 0.000 1
Na2 0.000 0.500 0.000 1
Ga1 0.500 0.500 0.500 1
H1 0.000 0.000 0.000 1
Sr1 0.000 0.000 0.500 1

- Among the records above, which one has the lowest density of states at the Fermi level?
  NaGa2SnH